Computed, not measured: Tl2TeRu after structural relaxation at the GGA-PBEsol level of DFT.

Summary:
* calculated total energy: -35.81 eV/cell
* ΔE_f (raw): 0.26 eV/atom
* crystal system: orthorhombic
* energy above the most stable polymorph in this dataset: 0.000 eV per atom

Cell lengths 3.183, 4.341, 14.055 Å; angles 90.00, 90.00, 90.00 degrees
Space group Immm (No. 71)
Symmetry-distinct sites (fractional):
1 Tl 0.000 0.000 0.180
2 Te 0.000 0.500 0.000
3 Ru 0.000 0.500 0.500

Computed, not measured: TlTe2Ru after structural relaxation at the GGA-PBEsol level of DFT.

Summary:
* calculated total energy: -19.57 eV/cell
* ΔE_f (raw): 0.07 eV/atom
* crystal system: orthorhombic
* energy above the most stable polymorph in this dataset: 0.000 eV per atom

Cell lengths 3.227, 3.268, 8.870 Å; angles 90.00, 90.00, 90.00 degrees
Space group Pmmm (No. 47)
Symmetry-distinct sites (fractional):
1 Tl 0.000 0.000 0.000
2 Te 0.500 0.500 0.317
3 Ru 0.000 0.000 0.500

Computed, not measured: TlTe2Ru after structural relaxation at the GGA-PBEsol level of DFT.

Summary:
* calculated total energy: -39.08 eV/cell
* ΔE_f (raw): 0.08 eV/atom
* crystal system: monoclinic
* energy above the most stable polymorph in this dataset: 0.008 eV per atom

Cell lengths 10.613, 3.267, 6.071 Å; angles 90.00, 113.29, 90.00 degrees
Space group Cm (No. 8)
Symmetry-distinct sites (fractional):
1 Tl 0.000 0.000 0.000
2 Te 0.143 0.500 0.638
3 Te 0.338 0.500 0.370
4 Ru 0.269 0.000 0.003

Calculated volume for the records above, in order: 194.2 93.5 193.4 Å³ per cell